(1)
Here is a relaxed structure of GeTeOF2 from Alexandria via LeMat-Bulk. Energies are from PBE.

The structure in extended XYZ format:
```
5
Lattice="4.680 0.000 0.000 0.000 4.680 0.000 0.000 0.000 4.126" Properties=species:S:1:pos:R:3 pbc="T T T"
Ge 0.000 0.000 0.000
Te 2.340 2.340 2.063
O 2.340 2.340 0.000
F 0.000 2.340 2.063
F 2.340 0.000 2.063
```

ΔE_f (raw): -0.638 eV/atom
size of the total moment: 0.7 μB/f.u.
symmetry: P4/mmm, No. 123

(2)
Here is a relaxed structure of ThGeO4F from Alexandria via LeMat-Bulk. Energies are from PBE.

The structure in extended XYZ format:
```
14
Lattice="4.958 -3.635 0.000 4.958 3.635 0.000 -1.149 0.000 6.424" Properties=species:S:1:pos:R:3 pbc="T T T"
Th 1.846 0.000 0.770
Th 6.920 0.000 5.654
Ge 2.576 0.000 4.435
Ge 6.190 0.000 1.989
O 2.210 1.308 5.572
O 1.709 0.000 2.952
O 4.399 0.000 2.463
O 6.556 1.308 0.853
O 2.210 -1.308 5.572
O 4.367 0.000 3.961
O 7.056 0.000 3.472
O 6.556 -1.308 0.853
F -0.629 0.000 5.282
F 9.395 0.000 1.143
```

ΔE_f (raw): -2.555 eV/atom
size of the total moment: 0.0 μB/f.u.
symmetry: C2/m, No. 12

(3)
Here is a relaxed structure of TiGeO2F from Alexandria via LeMat-Bulk. Energies are from PBE.

The structure in extended XYZ format:
```
5
Lattice="3.916 0.000 0.000 0.000 3.916 0.000 0.000 0.000 4.037" Properties=species:S:1:pos:R:3 pbc="T T T"
Ti 0.000 0.000 0.000
Ge 1.958 1.958 2.018
O 0.000 1.958 0.000
O 1.958 0.000 0.000
F 0.000 0.000 2.018
```

ΔE_f (raw): -1.951 eV/atom
size of the total moment: 0.0 μB/f.u.
symmetry: P4/mmm, No. 123

(4)
Here is a relaxed structure of TiGeO2F from Alexandria via LeMat-Bulk. Energies are from PBE.

The structure in extended XYZ format:
```
5
Lattice="3.918 0.000 0.000 0.000 3.918 0.000 0.000 0.000 4.063" Properties=species:S:1:pos:R:3 pbc="T T T"
Ti 0.000 0.000 0.000
Ge 1.959 1.959 2.032
O 0.000 1.959 2.032
O 1.959 0.000 2.032
F 1.959 1.959 0.000
```

ΔE_f (raw): -1.111 eV/atom
size of the total moment: 2.2 μB/f.u.
symmetry: P4/mmm, No. 123

(5)
Here is a relaxed structure of TiGeOF2 from Alexandria via LeMat-Bulk. Energies are from PBE.

The structure in extended XYZ format:
```
5
Lattice="4.230 0.000 0.000 0.000 4.230 0.000 0.000 0.000 4.054" Properties=species:S:1:pos:R:3 pbc="T T T"
Ti 0.000 0.000 0.000
Ge 2.115 2.115 2.027
O 2.115 2.115 0.000
F 0.000 2.115 2.027
F 2.115 0.000 2.027
```

ΔE_f (raw): -0.998 eV/atom
size of the total moment: 0.3 μB/f.u.
symmetry: P4/mmm, No. 123

(6)
Here is a relaxed structure of TiGeOF2 from Alexandria via LeMat-Bulk. Energies are from PBE.

The structure in extended XYZ format:
```
5
Lattice="4.185 0.000 0.000 0.000 4.185 0.000 0.000 0.000 3.841" Properties=species:S:1:pos:R:3 pbc="T T T"
Ti 0.000 0.000 0.000
Ge 2.092 2.092 1.921
O 0.000 0.000 1.921
F 0.000 2.092 0.000
F 2.092 0.000 0.000
```

ΔE_f (raw): -1.939 eV/atom
size of the total moment: 1.1 μB/f.u.
symmetry: P4/mmm, No. 123

(7)
Here is a relaxed structure of TlGeO2F from Alexandria via LeMat-Bulk. Energies are from PBE.

The structure in extended XYZ format:
```
5
Lattice="4.249 0.000 0.000 0.000 4.249 0.000 0.000 0.000 4.299" Properties=species:S:1:pos:R:3 pbc="T T T"
Tl 0.000 0.000 0.000
Ge 2.124 2.124 2.150
O 0.000 2.124 0.000
O 2.124 0.000 0.000
F 0.000 0.000 2.150
```

ΔE_f (raw): -0.443 eV/atom
size of the total moment: 0.0 μB/f.u.
symmetry: P4/mmm, No. 123

(8)
Here is a relaxed structure of TlGeO2F from Alexandria via LeMat-Bulk. Energies are from PBE.

The structure in extended XYZ format:
```
5
Lattice="3.819 0.000 0.000 0.000 3.819 0.000 0.000 0.000 4.507" Properties=species:S:1:pos:R:3 pbc="T T T"
Tl 0.000 0.000 0.000
Ge 1.910 1.910 2.253
O 0.000 1.910 2.253
O 1.910 0.000 2.253
F 1.910 1.910 0.000
```

ΔE_f (raw): -1.240 eV/atom
size of the total moment: 0.0 μB/f.u.
symmetry: P4/mmm, No. 123

(9)
Here is a relaxed structure of TlGeOF2 from Alexandria via LeMat-Bulk. Energies are from PBE.

The structure in extended XYZ format:
```
5
Lattice="4.498 0.000 0.000 0.000 4.498 0.000 0.000 0.000 3.815" Properties=species:S:1:pos:R:3 pbc="T T T"
Tl 0.000 0.000 0.000
Ge 2.249 2.249 1.908
O 2.249 2.249 0.000
F 0.000 2.249 1.908
F 2.249 0.000 1.908
```

ΔE_f (raw): -1.592 eV/atom
size of the total moment: 0.0 μB/f.u.
symmetry: P4/mmm, No. 123

(10)
Here is a relaxed structure of TlGeOF2 from Alexandria via LeMat-Bulk. Energies are from PBE.

The structure in extended XYZ format:
```
5
Lattice="4.556 0.000 0.000 0.000 4.556 0.000 0.000 0.000 4.286" Properties=species:S:1:pos:R:3 pbc="T T T"
Tl 0.000 0.000 0.000
Ge 2.278 2.278 2.143
O 0.000 0.000 2.143
F 0.000 2.278 0.000
F 2.278 0.000 0.000
```

ΔE_f (raw): -0.784 eV/atom
size of the total moment: 0.4 μB/f.u.
symmetry: P4/mmm, No. 123

(11)
Here is a relaxed structure of UGeO4F from Alexandria via LeMat-Bulk. Energies are from PBE.

The structure in extended XYZ format:
```
14
Lattice="4.660 -3.488 0.000 4.660 3.488 0.000 -2.320 0.000 6.725" Properties=species:S:1:pos:R:3 pbc="T T T"
U 1.674 0.000 1.048
U 5.326 0.000 5.677
Ge 1.586 0.000 4.825
Ge 5.414 0.000 1.900
O 0.808 1.373 5.640
O 1.303 0.000 3.100
O 3.694 0.000 1.540
O 0.808 -1.373 5.640
O 6.192 1.373 1.085
O 3.306 0.000 5.185
O 5.697 0.000 3.624
O 6.192 -1.373 1.085
F -1.732 0.000 5.640
F 8.732 0.000 1.085
```

ΔE_f (raw): -2.565 eV/atom
size of the total moment: 1.0 μB/f.u.
symmetry: C2/m, No. 12